a | Here is KTmAsO after structural relaxation from the Open Quantum Materials Database. Energies are from PBE-GGA.

Geometry as POSCAR:
```
KTmAsO
1.0
-2.179 2.368 1.095
-5.950 -4.874 -1.301
0.656 -2.716 7.175
As O Tm K
2 2 2 2
direct
0.000 0.296 0.316
0.000 0.704 0.816
0.500 0.237 0.881
0.500 0.763 0.381
0.000 0.368 0.954
0.000 0.632 0.454
0.500 0.048 0.602
0.500 0.952 0.102
```

**Space-group type**: No. 26



b | Here is KTmAsO after structural relaxation from the Open Quantum Materials Database. Energies are from PBE-GGA.

Geometry as POSCAR:
```
KTmAsO
1.0
5.734 0.000 0.000
0.000 5.734 0.000
0.000 0.000 5.173
As Tm O K
2 2 2 2
direct
0.250 0.250 0.506
0.750 0.750 0.494
0.250 0.750 0.500
0.750 0.250 0.500
0.250 0.750 0.000
0.750 0.250 0.000
0.250 0.250 0.005
0.750 0.750 0.995
```

**Space-group type**: No. 129



Energies in eV/atom, measured from the most stable structure: a 0.000; b 0.668.



a | Here is KTmAsO after structural relaxation from the Open Quantum Materials Database. Energies are from PBE-GGA.

Geometry as POSCAR:
```
KTmAsO
1.0
0.995 3.396 1.816
-3.811 1.139 -0.043
-1.508 -4.686 9.590
K Tm As O
2 2 2 2
direct
0.500 0.000 0.500
0.000 0.500 0.500
0.000 0.000 0.907
0.500 0.500 0.093
0.000 0.000 0.268
0.500 0.500 0.732
0.000 0.500 0.000
0.500 0.000 0.000
```

**Space-group type**: No. 129



b | Here is KTmAsO after structural relaxation from the Open Quantum Materials Database. Energies are from PBE-GGA.

Geometry as POSCAR:
```
KTmAsO
1.0
4.871 0.000 0.000
0.000 6.817 0.000
0.000 0.000 5.964
Tm K As O
2 2 2 2
direct
0.500 0.712 0.500
0.500 0.288 0.000
0.000 0.633 0.000
0.000 0.367 0.500
0.000 0.929 0.507
0.000 0.071 0.007
0.500 0.502 0.247
0.500 0.498 0.747
```

**Space-group type**: No. 26



Energies in eV/atom, measured from the most stable structure: a 0.090; b 0.000.



a | Here is KZnAsO after structural relaxation from the Open Quantum Materials Database. Energies are from PBE-GGA.

Geometry as POSCAR:
```
KZnAsO
1.0
-0.612 -0.449 3.062
8.353 -2.855 1.251
1.613 5.195 1.085
O K As Zn
2 2 2 2
direct
0.500 0.855 0.474
0.500 0.145 0.974
0.500 0.858 0.982
0.500 0.142 0.482
0.000 0.527 0.818
0.000 0.473 0.318
0.000 0.734 0.480
0.000 0.266 0.980
```

**Space-group type**: No. 26



b | Here is KZnAsO after structural relaxation from the Open Quantum Materials Database. Energies are from PBE-GGA.

Geometry as POSCAR:
```
KZnAsO
1.0
-0.564 3.357 2.108
-3.038 1.002 -2.408
-7.136 -5.434 6.743
O As K Zn
2 2 2 2
direct
0.250 0.750 0.000
0.750 0.250 0.000
0.750 0.750 0.274
0.250 0.250 0.726
0.250 0.750 0.500
0.750 0.250 0.500
0.250 0.250 0.953
0.750 0.750 0.047
```

**Space-group type**: No. 129



Energies in eV/atom, measured from the most stable structure: a 0.000; b 0.736.



a | Here is KZnAsO after structural relaxation from the Open Quantum Materials Database. Energies are from PBE-GGA.

Geometry as POSCAR:
```
KZnAsO
1.0
-0.800 0.093 2.840
1.112 -8.717 0.600
6.157 0.903 1.705
O As K Zn
2 2 2 2
direct
0.500 0.927 0.334
0.500 0.073 0.834
0.000 0.673 0.938
0.000 0.327 0.438
0.000 0.293 0.940
0.000 0.707 0.440
0.500 0.075 0.542
0.500 0.925 0.042
```

**Space-group type**: No. 26



b | Here is KZnAsO after structural relaxation from the Open Quantum Materials Database. Energies are from PBE-GGA.

Geometry as POSCAR:
```
KZnAsO
1.0
3.740 0.000 0.000
0.000 3.740 0.000
0.000 0.000 11.940
K Zn As O
2 2 2 2
direct
0.250 0.250 0.150
0.750 0.750 0.850
0.750 0.250 0.500
0.250 0.750 0.500
0.750 0.750 0.356
0.250 0.250 0.644
0.250 0.750 0.000
0.750 0.250 0.000
```

**Space-group type**: No. 129



Energies in eV/atom, measured from the most stable structure: a 0.000; b 0.397.



a | Here is LaMgAsOs after structural relaxation from the Open Quantum Materials Database. Energies are from PBE-GGA.

Geometry as POSCAR:
```
LaMgAsOs
1.0
0.000 3.387 3.387
3.387 0.000 3.387
3.387 3.387 0.000
As Os Mg La
1 1 1 1
direct
0.000 0.000 0.000
0.250 0.250 0.250
0.750 0.750 0.750
0.500 0.500 0.500
```

**Space-group type**: No. 216



b | Here is LaMgAsOs after structural relaxation from the Open Quantum Materials Database. Energies are from PBE-GGA.

Geometry as POSCAR:
```
LaMgAsOs
1.0
-2.877 0.888 3.740
-2.482 4.106 0.199
-4.767 -0.046 -0.574
Os As Mg La
1 1 1 1
direct
0.000 0.000 0.000
0.250 0.250 0.250
0.750 0.750 0.750
0.500 0.500 0.500
```

**Space-group type**: No. 216



c | Here is LaMgAsOs after structural relaxation from the Open Quantum Materials Database. Energies are from PBE-GGA.

Geometry as POSCAR:
```
LaMgAsOs
1.0
-3.061 -3.496 -1.553
-4.550 1.169 -1.391
-1.252 -0.235 -4.730
La Mg As Os
1 1 1 1
direct
0.250 0.250 0.250
0.750 0.750 0.750
0.500 0.500 0.500
0.000 0.000 0.000
```

**Space-group type**: No. 216



Energies in eV/atom, measured from the most stable structure: a 0.084; b 0.000; c 0.023.



a | Here is LaPaAsO after structural relaxation from the Open Quantum Materials Database. Energies are from PBE-GGA.

Geometry as POSCAR:
```
LaPaAsO
1.0
-0.965 -3.245 2.535
4.051 -1.214 -0.011
1.676 5.521 7.704
As O Pa La
2 2 2 2
direct
0.000 0.500 0.264
0.500 0.000 0.736
0.000 0.000 0.000
0.500 0.500 0.000
0.000 0.500 0.875
0.500 0.000 0.125
0.000 0.000 0.500
0.500 0.500 0.500
```

**Space-group type**: No. 129



b | Here is LaPaAsO after structural relaxation from the Open Quantum Materials Database. Energies are from PBE-GGA.

Geometry as POSCAR:
```
LaPaAsO
1.0
-0.196 4.231 -0.654
-2.606 -0.638 -3.341
-7.772 0.561 5.956
As O Pa La
2 2 2 2
direct
0.000 0.500 0.287
0.500 0.000 0.713
0.000 0.000 0.000
0.500 0.500 0.000
0.000 0.000 0.500
0.500 0.500 0.500
0.500 0.000 0.114
0.000 0.500 0.886
```

**Space-group type**: No. 129



Energies in eV/atom, measured from the most stable structure: a 0.087; b 0.000.



a | Here is LaPmAsO after structural relaxation from the Open Quantum Materials Database. Energies are from PBE-GGA.

Geometry as POSCAR:
```
LaPmAsO
1.0
4.459 0.000 0.000
0.000 4.459 0.000
0.000 0.000 9.406
O Pm La As
2 2 2 2
direct
0.750 0.250 0.000
0.250 0.750 0.000
0.750 0.250 0.500
0.250 0.750 0.500
0.750 0.750 0.892
0.250 0.250 0.108
0.250 0.250 0.704
0.750 0.750 0.296
```

**Space-group type**: No. 129



b | Here is LaPmAsO after structural relaxation from the Open Quantum Materials Database. Energies are from PBE-GGA.

Geometry as POSCAR:
```
LaPmAsO
1.0
4.263 0.000 0.000
0.000 8.222 0.000
0.000 0.000 5.935
O As Pm La
2 2 2 2
direct
0.500 0.825 0.389
0.500 0.175 0.889
0.000 0.349 0.437
0.000 0.651 0.937
0.000 0.699 0.440
0.000 0.301 0.940
0.500 0.886 0.988
0.500 0.114 0.488
```

**Space-group type**: No. 26



c | Here is LaPmAsO after structural relaxation from the Open Quantum Materials Database. Energies are from PBE-GGA.

Geometry as POSCAR:
```
LaPmAsO
1.0
4.355 0.000 0.000
0.000 7.926 0.000
0.000 0.000 6.247
La O Pm As
2 2 2 2
direct
0.000 0.703 0.437
0.000 0.297 0.937
0.500 0.830 0.375
0.500 0.170 0.875
0.500 0.109 0.512
0.500 0.891 0.012
0.000 0.672 0.930
0.000 0.328 0.430
```

**Space-group type**: No. 26



Energies in eV/atom, measured from the most stable structure: a 0.028; b 0.035; c 0.000.



a | Here is LaTaAsO after structural relaxation from the Open Quantum Materials Database. Energies are from PBE-GGA.

Geometry as POSCAR:
```
LaTaAsO
1.0
4.052 0.000 0.000
0.000 4.052 0.000
0.000 0.000 9.455
As Ta O La
2 2 2 2
direct
0.250 0.250 0.687
0.750 0.750 0.313
0.750 0.250 0.500
0.250 0.750 0.500
0.250 0.750 0.000
0.750 0.250 0.000
0.750 0.750 0.870
0.250 0.250 0.130
```

**Space-group type**: No. 129



b | Here is LaTaAsO after structural relaxation from the Open Quantum Materials Database. Energies are from PBE-GGA.

Geometry as POSCAR:
```
LaTaAsO
1.0
-0.380 -2.851 -3.033
4.746 -1.074 0.416
-1.593 -5.107 5.000
La O Ta As
2 2 2 2
direct
0.500 0.826 0.591
0.500 0.174 0.091
0.500 0.667 0.938
0.500 0.333 0.438
0.000 0.332 0.440
0.000 0.668 0.940
0.000 0.825 0.285
0.000 0.175 0.785
```

**Space-group type**: No. 26



Energies in eV/atom, measured from the most stable structure: a 0.000; b 0.265.



a | Here is LaTaAsO after structural relaxation from the Open Quantum Materials Database. Energies are from PBE-GGA.

Geometry as POSCAR:
```
LaTaAsO
1.0
4.683 0.000 0.000
0.000 6.342 0.000
0.000 0.000 6.052
Ta La O As
2 2 2 2
direct
0.500 0.100 0.522
0.500 0.900 0.022
0.000 0.739 0.448
0.000 0.261 0.948
0.500 0.826 0.342
0.500 0.174 0.842
0.000 0.252 0.442
0.000 0.748 0.942
```

**Space-group type**: No. 26



b | Here is LaTaAsO after structural relaxation from the Open Quantum Materials Database. Energies are from PBE-GGA.

Geometry as POSCAR:
```
LaTaAsO
1.0
-2.752 -3.071 -0.476
2.147 -2.338 2.675
-4.510 3.066 6.299
O As Ta La
2 2 2 2
direct
0.750 0.250 0.000
0.250 0.750 0.000
0.250 0.250 0.766
0.750 0.750 0.234
0.250 0.250 0.092
0.750 0.750 0.908
0.750 0.250 0.500
0.250 0.750 0.500
```

**Space-group type**: No. 129



Energies in eV/atom, measured from the most stable structure: a 0.000; b 0.687.



a | Here is LiLuAsO after structural relaxation from the Open Quantum Materials Database. Energies are from PBE-GGA.

Geometry as POSCAR:
```
LiLuAsO
1.0
4.672 0.000 0.000
0.000 4.672 0.000
0.000 0.000 7.915
Lu As O Li
2 2 2 2
direct
0.750 0.250 0.500
0.250 0.750 0.500
0.750 0.750 0.323
0.250 0.250 0.677
0.250 0.750 0.000
0.750 0.250 0.000
0.250 0.250 0.012
0.750 0.750 0.988
```

**Space-group type**: No. 129



b | Here is LiLuAsO after structural relaxation from the Open Quantum Materials Database. Energies are from PBE-GGA.

Geometry as POSCAR:
```
LiLuAsO
1.0
-2.452 1.042 2.574
-1.986 -3.058 -0.653
5.079 -4.742 6.757
As O Lu Li
2 2 2 2
direct
0.000 0.500 0.309
0.500 0.000 0.691
0.000 0.000 0.000
0.500 0.500 0.000
0.500 0.000 0.114
0.000 0.500 0.886
0.500 0.500 0.500
0.000 0.000 0.500
```

**Space-group type**: No. 129



Energies in eV/atom, measured from the most stable structure: a 1.300; b 0.000.



a | Here is LiNiMoAs after structural relaxation from the Open Quantum Materials Database. Energies are from PBE-GGA.

Geometry as POSCAR:
```
LiNiMoAs
1.0
-0.643 -2.766 3.166
-2.736 0.936 3.119
-3.696 -2.085 0.284
Li As Ni Mo
1 1 1 1
direct
0.250 0.250 0.250
0.000 0.000 0.000
0.750 0.750 0.750
0.500 0.500 0.500
```

**Space-group type**: No. 216



b | Here is LiNiMoAs after structural relaxation from the Open Quantum Materials Database. Energies are from PBE-GGA.

Geometry as POSCAR:
```
LiNiMoAs
1.0
0.000 2.953 2.953
2.953 0.000 2.953
2.953 2.953 0.000
Ni Mo As Li
1 1 1 1
direct
0.750 0.750 0.750
0.250 0.250 0.250
0.000 0.000 0.000
0.500 0.500 0.500
```

**Space-group type**: No. 216



Energies in eV/atom, measured from the most stable structure: a 0.268; b 0.000.



a | Here is LiMoAsW after structural relaxation from the Open Quantum Materials Database. Energies are from PBE-GGA.

Geometry as POSCAR:
```
LiMoAsW
1.0
0.000 3.049 3.049
3.049 0.000 3.049
3.049 3.049 0.000
Mo As Li W
1 1 1 1
direct
0.000 0.000 0.000
0.250 0.250 0.250
0.750 0.750 0.750
0.500 0.500 0.500
```

**Space-group type**: No. 216



b | Here is LiMoAsW after structural relaxation from the Open Quantum Materials Database. Energies are from PBE-GGA.

Geometry as POSCAR:
```
LiMoAsW
1.0
0.000 3.075 3.075
3.075 0.000 3.075
3.075 3.075 0.000
Mo Li As W
1 1 1 1
direct
0.250 0.250 0.250
0.750 0.750 0.750
0.000 0.000 0.000
0.500 0.500 0.500
```

**Space-group type**: No. 216



Energies in eV/atom, measured from the most stable structure: a 0.347; b 0.000.